(1)
A plane-wave DFT calculation with GGA-PBE was carried out for a relaxed CsIn2Pd2 crystal.

a b c (Å): 8.6449 8.6449 3.1465
angles (deg): 90.00 90.00 90.00
Last column: nearest neighbours and their distance in Å.
Sites, in units of the cell vectors:
Pd  0.6643  0.1643  0.0000  6 In 2.97-3.02, 2 Pd 3.15, 2 Cs 3.23
In  0.1246  0.6246  0.5000  6 Pd 2.97-3.02, 3 In 3.05-3.15
Pd  0.1643  0.3357  0.0000  6 In 2.97-3.02, 2 Pd 3.15, 2 Cs 3.23
Cs  0.5000  0.5000  0.0000  2 Cs 3.15, 4 Pd 3.23
Cs  0.0000  0.0000  0.0000  2 Cs 3.15, 4 Pd 3.23
In  0.6246  0.8754  0.5000  6 Pd 2.97-3.02, 3 In 3.05-3.15
Pd  0.3357  0.8357  0.0000  6 In 2.97-3.02, 2 Pd 3.15, 2 Cs 3.23
Pd  0.8357  0.6643  0.0000  6 In 2.97-3.02, 2 Pd 3.15, 2 Cs 3.23
In  0.3754  0.1246  0.5000  6 Pd 2.97-3.02, 3 In 3.05-3.15
In  0.8754  0.3754  0.5000  6 Pd 2.97-3.02, 3 In 3.05-3.15

Its raw total energy is -3.52 eV per atom. Its crystal system is tetragonal. The calculation puts the total magnetization at 0.0 μB per cell. As for the formation energy from the elements: -0.180 eV/atom. For the polymorph energy (0 for the lowest one), the calculation gives 54 meV/atom.

=====

(2)
A plane-wave DFT calculation with GGA-PBE was carried out for a relaxed Th3In2C crystal.

a b c (Å): 5.0896 7.3835 9.4735
angles (deg): 112.99 105.58 90.00
Last column: nearest neighbours and their distance in Å.
Sites, in units of the cell vectors:
In  0.7003  0.4499  0.4007  2 In 3.04, 1 Th 3.34
Th  0.1088  0.1089  0.2176  2 C 2.59
C  0.0000  0.2500  0.0000  6 Th 2.54-2.59
Th  0.5000  0.7500  0.0000  2 C 2.54
Th  0.5000  0.2500  0.0000  2 C 2.54
In  0.7004  0.9499  0.4007  2 In 3.04, 1 Th 3.34
Th  0.1088  0.6089  0.2176  2 C 2.59
Th  0.8912  0.8911  0.7824  2 C 2.59
In  0.2996  0.0501  0.5993  2 In 3.04, 1 Th 3.34
In  0.2997  0.5501  0.5993  2 In 3.04, 1 Th 3.34
C  0.0000  0.7500  0.0000  6 Th 2.54-2.59
Th  0.8912  0.3911  0.7824  2 C 2.59

Its raw total energy is -6.49 eV per atom. Its crystal system is monoclinic. The calculation puts the total magnetization at 0.0 μB per cell. As for the formation energy from the elements: -0.326 eV/atom.

=====

(3)
A plane-wave DFT calculation with GGA-PBE was carried out for a relaxed Li2ZnNi2Ge2 crystal.

a b c (Å): 4.4093 4.4093 7.1338
angles (deg): 108.00 108.00 90.00
Last column: nearest neighbours and their distance in Å.
Sites, in units of the cell vectors:
Ge  0.3979  0.3979  0.7958  4 Ni 2.56, 1 Ge 2.62, 1 Li 2.64
Zn  0.0000  0.0000  0.0000  4 Ni 2.20, 2 Li 2.47
Li  0.8077  0.8077  0.6155  1 Zn 2.47, 1 Ge 2.64
Ni  0.5000  0.0000  0.0000  2 Zn 2.20
Ge  0.6021  0.6021  0.2042  4 Ni 2.56, 1 Ge 2.62, 1 Li 2.64
Li  0.1923  0.1923  0.3845  1 Zn 2.47, 1 Ge 2.64
Ni  0.0000  0.5000  0.0000  2 Zn 2.20

Its raw total energy is -3.72 eV per atom. Its crystal system is tetragonal. The calculation puts the total magnetization at 0.0 μB per cell. As for the formation energy from the elements: -0.016 eV/atom.

=====

(4)
A plane-wave DFT calculation with GGA-PBE was carried out for a relaxed CaTl3In3I8 crystal.

a b c (Å): 9.9101 9.9060 9.9317
angles (deg): 119.95 90.00 120.01
Last column: nearest neighbours and their distance in Å.
Sites, in units of the cell vectors:
I  0.7732  0.5463  0.2753  1 Ca 3.18, 2 In 3.51, 2 Tl 3.54
I  0.7489  0.4978  0.7466  3 In 3.49, 3 Tl 3.52
In  0.5000  0.5000  0.5000  6 I 3.49-3.51
Tl  0.5000  0.5000  0.0000  6 I 3.52-3.54
I  0.2268  0.4537  0.7247  1 Ca 3.18, 2 In 3.51, 2 Tl 3.54
I  0.7710  0.9979  0.7247  1 Ca 3.18, 2 In 3.50-3.51, 2 Tl 3.53-3.54
I  0.7732  0.0021  0.2753  1 Ca 3.18, 2 In 3.50-3.51, 2 Tl 3.53-3.54
In  0.5000  0.0000  0.5000  6 I 3.49-3.51
I  0.2268  0.9979  0.7247  1 Ca 3.18, 2 In 3.50-3.51, 2 Tl 3.53-3.54
In  0.0000  0.5000  0.5000  6 I 3.49-3.51
Tl  0.0000  0.5000  0.0000  6 I 3.52-3.54
I  0.2511  0.5022  0.2534  3 In 3.49, 3 Tl 3.52
I  0.2290  0.0021  0.2753  1 Ca 3.18, 2 In 3.50-3.51, 2 Tl 3.53-3.54
Ca  0.0000  0.0000  0.5000  6 I 3.18
Tl  0.0000  0.0000  0.0000  6 I 3.52-3.54

Its formation energy from raw total energies is -0.78 eV per atom. Its raw total energy is -2.76 eV per atom. Its crystal system is monoclinic. The calculation puts the total magnetization at 0.0 μB per cell.

=====

(5)
A plane-wave DFT calculation with GGA-PBE was carried out for a relaxed Na2CoPt crystal.

a b c (Å): 4.7118 4.7118 4.7118
angles (deg): 60.00 60.00 60.00
Last column: nearest neighbours and their distance in Å.
Sites, in units of the cell vectors:
Pt  0.5000  0.5000  0.5000  8 Na 2.89
Co  0.0000  0.0000  0.0000  8 Na 2.89
Na  0.7500  0.7500  0.7500  4 Co 2.89, 4 Pt 2.89
Na  0.2500  0.2500  0.2500  4 Co 2.89, 4 Pt 2.89

Its raw total energy is -3.33 eV per atom. Its crystal system is cubic. The calculation puts the total magnetization at 2.0 μB per cell. As for the formation energy from the elements: 0.619 eV/atom. For the polymorph energy (0 for the lowest one), the calculation gives 198 meV/atom.

=====

(6)
A plane-wave DFT calculation with GGA-PBE was carried out for a relaxed RbHfTi3 crystal.

a b c (Å): 5.2092 5.2092 5.2092
angles (deg): 90.00 90.00 90.00
Last column: nearest neighbours and their distance in Å.
Sites, in units of the cell vectors:
Ti  0.0000  0.0000  0.5000  2 Hf 2.60
Rb  0.5000  0.5000  0.5000  12 Ti 3.68
Hf  0.0000  0.0000  0.0000  6 Ti 2.60
Ti  0.0000  0.5000  0.0000  2 Hf 2.60
Ti  0.5000  0.0000  0.0000  2 Hf 2.60

Its raw total energy is -5.57 eV per atom. Its crystal system is cubic. The calculation puts the total magnetization at 3.4 μB per cell. As for the formation energy from the elements: 1.347 eV/atom. For the polymorph energy (0 for the lowest one), the calculation gives 0 meV/atom.